Below is a relaxed Na3Pu3VS8 crystal, with properties calculated at the GGA-PBE level.

POSCAR file:
```
Na3Pu3VS8
1.0
3.892 2.247 6.721
-3.892 2.247 6.721
0.000 -4.494 6.721
Na Pu V S
3 3 1 8
direct
0.000 0.500 0.500
0.500 0.000 0.500
0.500 0.500 0.000
0.000 0.000 0.500
0.000 0.500 0.000
0.500 0.000 0.000
0.500 0.500 0.500
0.243 0.243 0.243
0.261 0.724 0.724
0.276 0.276 0.739
0.276 0.739 0.276
0.724 0.261 0.724
0.724 0.724 0.261
0.739 0.276 0.276
0.757 0.757 0.757
```

Results
The value obtained for the uncorrected formation energy is -2020 kJ/mol of formula units.

=====

Below is a relaxed NaYPu2S4 crystal, with properties calculated at the GGA-PBE level.

POSCAR file:
```
NaYPu2S4
1.0
6.861 0.000 0.000
0.000 3.980 0.000
-2.299 0.000 6.517
Na Y Pu S
1 1 2 4
direct
0.000 0.000 0.000
0.000 0.500 0.500
0.500 0.000 0.500
0.500 0.500 0.000
0.249 0.000 0.746
0.254 0.500 0.258
0.746 0.500 0.742
0.751 0.000 0.254
```

Results
The value obtained for the uncorrected formation energy is -1348 kJ/mol of formula units.

=====

Below is a relaxed Na2YPuS4 crystal, with properties calculated at the GGA-PBE level.

POSCAR file:
```
Na2YPuS4
1.0
6.964 0.000 0.000
0.000 4.023 0.000
-2.341 0.000 6.652
Na Y Pu S
2 1 1 4
direct
0.000 0.000 0.000
0.500 0.500 0.000
0.000 0.500 0.500
0.500 0.000 0.500
0.240 0.000 0.728
0.257 0.500 0.274
0.743 0.500 0.726
0.760 0.000 0.272
```

Results
The value obtained for the uncorrected formation energy is -1301 kJ/mol of formula units.